The following is a PBE calculation of Ge2P2Pb after structural relaxation, from Alexandria via LeMat-Bulk.

Cell and atoms, written as CIF:
```
data_Ge2P2Pb
_chemical_formula_sum 'Ge4 P4 Pb2'
_cell_length_a 4.0014
_cell_length_b 4.0014
_cell_length_c 13.5678
_cell_angle_alpha 90.00
_cell_angle_beta 90.00
_cell_angle_gamma 90.00
_space_group_name_H-M_alt 'I 4/m m m'
_space_group_IT_number 139
_space_group_name_Hall '-I 4 2'
loop_
_atom_site_label
_atom_site_type_symbol
_atom_site_fract_x
_atom_site_fract_y
_atom_site_fract_z
Ge1 Ge 0.0000 0.0000 0.1286
P1 P 0.0000 0.5000 0.2500
Pb1 Pb 0.0000 0.0000 0.5000
```

Calculated values
Distance to the lowest polymorph of the same formula (meV/atom): 77